The following is a DFT calculation (PBE-GGA) of a geometry-optimized Zr2VGa structure.

Lattice parameters (Å, degrees): 3.462 3.462 6.274 90.00 90.00 90.00
Site moments in Bohr magnetons follow the coordinates.
Positions (direct):
Ga (0.500, 0.500, 0.500)  0.00
Zr (0.000, 0.000, 0.755)  -0.01
Zr (0.000, 0.000, 0.245)  -0.01
V (0.500, 0.500, 0.000)  1.35

space-group type: P4/mmm (123)
DFT formation energy: -0.21 eV/atom

The following is a DFT calculation (PBE-GGA) of a geometry-optimized Zr2VGa2 structure.

Lattice parameters (Å, degrees): 6.972 6.972 3.812 90.00 90.00 90.00
Site moments in Bohr magnetons follow the coordinates.
Positions (direct):
Zr (0.175, 0.675, 0.500)  0.01
Zr (0.675, 0.825, 0.500)  0.01
Zr (0.825, 0.325, 0.500)  0.01
Zr (0.325, 0.175, 0.500)  0.01
Ga (0.371, 0.871, 0.000)  -0.02
Ga (0.871, 0.629, 0.000)  -0.02
Ga (0.629, 0.129, 0.000)  -0.02
Ga (0.129, 0.371, 0.000)  -0.02
V (0.000, 0.000, 0.000)  1.74
V (0.500, 0.500, 0.000)  1.74

space-group type: P4/mbm (127)
DFT formation energy: -0.41 eV/atom

The following is a DFT calculation (PBE-GGA) of a geometry-optimized ZrVGa3 structure.

Lattice parameters (Å, degrees): 4.638 4.638 4.638 90.00 90.00 90.00
Positions (direct):
Zr (0.500, 0.500, 0.500)
Ga (0.000, 0.500, 0.000)
Ga (0.000, 0.000, 0.500)
Ga (0.500, 0.000, 0.000)
V (0.000, 0.000, 0.000)

space-group type: Pm-3m (221)
DFT formation energy: 0.29 eV/atom
relative energy among the computed polymorphs: 362 meV/atom

The following is a DFT calculation (PBE-GGA) of a geometry-optimized ZrVGa3 structure.

Lattice parameters (Å, degrees): 5.095 5.095 5.095 90.00 90.00 90.00
Site moments in Bohr magnetons follow the coordinates.
Positions (direct):
Zr (0.000, 0.000, 0.000)  -0.26
Ga (0.000, 0.500, 0.000)  -0.05
Ga (0.000, 0.000, 0.500)  -0.05
Ga (0.500, 0.000, 0.000)  -0.05
V (0.500, 0.500, 0.500)  2.92

space-group type: Pm-3m (221)
DFT formation energy: 0.93 eV/atom
relative energy among the computed polymorphs: 1003 meV/atom

Calculated E (eV/atom), listed in the same order as above: -7.53 -6.86 -5.06 -4.42